1.
Entry from Alexandria via LeMat-Bulk: a geometry-optimized YUCuO6 structure (PBE).

Calculated values
- total energy (eV/atom) = -8.16
- density of states at the Fermi level (states/eV/atom) = 0.01
- energy relative to the elements, uncorrected (eV per atom) = -2.429

Unit cell a=5.2939 b=5.2939 c=10.0496 alpha=90.00 beta=90.00 gamma=120.00
Space group P-31c (No. 163)
Asymmetric unit:
Y (0.0000, 0.0000, 0.0000)
U (0.3333, 0.6667, 0.2500)
Cu (0.3333, 0.6667, 0.7500)
O (0.0066, 0.3532, 0.6369)

2.
Entry from Alexandria via LeMat-Bulk: a geometry-optimized UZnCu2O8 structure (PBE).

Calculated values
- total energy (eV/atom) = -6.11
- density of states at the Fermi level (states/eV/atom) = 0.76
- energy relative to the elements, uncorrected (eV per atom) = -1.076

Unit cell a=6.539 b=6.539 c=6.853 alpha=90.00 beta=90.00 gamma=90.00
Space group I-4m2 (No. 119)
Asymmetric unit:
U (0.000, 0.000, 0.000)
Zn (0.000, 0.500, 0.750)
Cu (0.000, 0.000, 0.500)
Cu (0.000, 0.500, 0.250)
O (0.000, 0.185, 0.703)
O (0.000, 0.303, 0.056)

3.
Entry from Alexandria via LeMat-Bulk: a geometry-optimized UZnCuO6 structure (PBE).

Calculated values
- total energy (eV/atom) = -6.75
- density of states at the Fermi level (states/eV/atom) = 0.71
- energy relative to the elements, uncorrected (eV per atom) = -1.595

Unit cell a=5.1957 b=5.1957 c=9.1550 alpha=90.00 beta=90.00 gamma=120.00
Space group P-31c (No. 163)
Asymmetric unit:
U (0.3333, 0.6667, 0.2500)
Zn (0.0000, 0.0000, 0.0000)
Cu (0.3333, 0.6667, 0.7500)
O (0.0125, 0.3464, 0.6308)

4.
Entry from Alexandria via LeMat-Bulk: a geometry-optimized ZrUCuO6 structure (PBE).

Calculated values
- total energy (eV/atom) = -8.46
- density of states at the Fermi level (states/eV/atom) = 0.49
- energy relative to the elements, uncorrected (eV per atom) = -2.494

Unit cell a=5.2629 b=5.2629 c=9.5985 alpha=90.00 beta=90.00 gamma=120.00
Space group P-31c (No. 163)
Asymmetric unit:
Zr (0.0000, 0.0000, 0.0000)
U (0.3333, 0.6667, 0.2500)
Cu (0.3333, 0.6667, 0.7500)
O (0.0036, 0.3325, 0.1294)

Q: Look up the density of states at the Fermi level of the third one.
A: 0.71 states/eV/atom

What did the second record say?
Entry from Alexandria via LeMat-Bulk: a geometry-optimized UZnCu2O8 structure (PBE).

Calculated values
- total energy (eV/atom) = -6.11
- density of states at the Fermi level (states/eV/atom) = 0.76
- energy relative to the elements, uncorrected (eV per atom) = -1.076

Unit cell a=6.539 b=6.539 c=6.853 alpha=90.00 beta=90.00 gamma=90.00
Space group I-4m2 (No. 119)
Asymmetric unit:
U (0.000, 0.000, 0.000)
Zn (0.000, 0.500, 0.750)
Cu (0.000, 0.000, 0.500)
Cu (0.000, 0.500, 0.250)
O (0.000, 0.185, 0.703)
O (0.000, 0.303, 0.056)

Q: What is the formula in the third record?
A: UZnCuO6

Q: Among the records above, which one has the lowest energy relative to the elements, uncorrected?
A: ZrUCuO6